[1]
# Sn2MoHAu

Sn2MoHAu after structural relaxation (PBE-GGA, the Alexandria database).

Unit cell a=4.8349 b=4.8349 c=3.5747 alpha=90.00 beta=90.00 gamma=90.00
Closest atoms and distances in Å follow each position.
Space group P4/mmm (No. 123)
Symmetry-distinct sites (fractional):
Sn 0.0000 0.5000 0.0000 [2 per cell]  2 H 2.42
Mo 0.0000 0.0000 0.5000 [1 per cell]  2 H 1.79
H 0.0000 0.0000 0.0000 [1 per cell]  2 Mo 1.79
Au 0.5000 0.5000 0.5000 [1 per cell]  8 Sn 3.01

As for the crystal system: tetragonal. Its raw total energy is -4.788 eV/atom.

---

[2]
# TbBeB

TbBeB after structural relaxation (PBE-GGA, the Alexandria database).

Unit cell a=3.4535 b=3.4527 c=7.6996 alpha=90.00 beta=90.17 gamma=90.00
Closest atoms and distances in Å follow each position.
Space group P2_1/m (No. 11)
Symmetry-distinct sites (fractional):
Tb 0.2476 0.2500 0.2207 [2 per cell]  4 B 2.68-2.69, 4 Be 2.76
Be 0.2509 0.7500 0.5000 [2 per cell]  4 B 2.01
B 0.2503 0.2500 0.6339 [2 per cell]  4 Be 2.01

Its energy relative to the elements is -0.231 eV/atom. As for the crystal system: monoclinic. Its raw total energy is -5.242 eV/atom.

---

[3]
# Pr2Np3S8

Pr2Np3S8 after structural relaxation (PBE-GGA, the Alexandria database).

Unit cell a=14.1505 b=8.0089 c=6.8498 alpha=90.00 beta=109.94 gamma=90.00
Closest atoms and distances in Å follow each position.
Space group C2/m (No. 12)
Symmetry-distinct sites (fractional):
Pr 0.2323 0.0000 0.1611 [4 per cell]  6 S 2.84-2.95
Np 0.0000 0.2428 0.5000 [4 per cell]  6 S 2.68-2.76
Np 0.0000 0.5000 0.0000 [2 per cell]  6 S 2.75-2.79
S 0.1109 0.0000 0.4157 [4 per cell]  2 Np 2.68, 1 Pr 2.84
S 0.1118 0.5000 0.4226 [4 per cell]  3 Np 2.76-2.79, 1 Pr 2.95
S 0.1226 0.2703 0.9072 [8 per cell]  2 Np 2.75, 2 Pr 2.88-2.91

As for the crystal system: monoclinic. Its raw total energy is -7.796 eV/atom. The formation energy (no corrections) is -1.535 eV/atom.

---

[4]
# Tb6GaP2S3

Tb6GaP2S3 after structural relaxation (PBE-GGA, the Alexandria database).

Unit cell a=17.5239 b=3.9713 c=8.0947 alpha=90.00 beta=103.31 gamma=90.00
Closest atoms and distances in Å follow each position.
Space group C2/m (No. 12)
Symmetry-distinct sites (fractional):
Tb 0.0009 0.0000 0.2567 [4 per cell]  3 S 2.80-2.89, 1 P 2.84, 2 Ga 2.87
Tb 0.1675 0.5000 0.0884 [4 per cell]  3 S 2.80-2.88, 2 P 2.81, 1 Ga 2.86
Tb 0.1694 0.5000 0.5783 [4 per cell]  3 P 2.79, 3 S 2.86-2.89
Ga 0.0000 0.5000 0.0000 [2 per cell]  6 Tb 2.86-2.87
P 0.1672 0.0000 0.3347 [4 per cell]  6 Tb 2.79-2.84
S 0.0000 0.5000 0.5000 [2 per cell]  6 Tb 2.80-2.89
S 0.1683 0.0000 0.8316 [4 per cell]  6 Tb 2.80-2.89

As for the crystal system: monoclinic. Its raw total energy is -6.162 eV/atom. The formation energy (no corrections) is -1.662 eV/atom.

---

[5]
# PaGa6

PaGa6 after structural relaxation (PBE-GGA, the Alexandria database).

Unit cell a=5.9356 b=5.9356 c=7.6519 alpha=90.00 beta=90.00 gamma=90.00
Closest atoms and distances in Å follow each position.
Space group P4/nbm (No. 125, origin choice 2)
Symmetry-distinct sites (fractional):
Pa 0.2500 0.7500 0.0000 [2 per cell]  12 Ga 3.08-3.21
Ga 0.0736 0.5736 0.3530 [8 per cell]  3 Ga 2.57-2.64
Ga 0.2500 0.2500 0.1601 [4 per cell]  5 Ga 2.45-2.64

Its energy relative to the elements is -0.174 eV/atom. As for the crystal system: tetragonal. Its raw total energy is -4.125 eV/atom.

---

[6]
# Ca2AlZn3Pt4

Ca2AlZn3Pt4 after structural relaxation (PBE-GGA, the Alexandria database).

Unit cell a=4.1597 b=4.1597 c=10.9124 alpha=90.00 beta=90.00 gamma=90.00
Closest atoms and distances in Å follow each position.
Space group P-4m2 (No. 115)
Symmetry-distinct sites (fractional):
Ca 0.0000 0.5000 0.2387 [2 per cell]  4 Zn 3.15, 8 Pt 3.25-3.33
Al 0.0000 0.0000 0.5000 [1 per cell]  4 Pt 2.55
Zn 0.0000 0.5000 0.8640 [2 per cell]  5 Pt 2.50-2.55
Zn 0.5000 0.5000 0.5000 [1 per cell]  4 Pt 2.55
Pt 0.0000 0.0000 0.0000 [1 per cell]  4 Zn 2.55
Pt 0.0000 0.5000 0.6345 [2 per cell]  3 Zn 2.50-2.55, 2 Al 2.55
Pt 0.5000 0.5000 0.0000 [1 per cell]  4 Zn 2.55

Its energy relative to the elements is -0.776 eV/atom. As for the crystal system: tetragonal. Its raw total energy is -4.349 eV/atom.

---

[7]
# La6Pm2Er

La6Pm2Er after structural relaxation (PBE-GGA, the Alexandria database).

Unit cell a=9.5737 b=18.0696 c=3.7045 alpha=90.00 beta=90.00 gamma=90.00
Closest atoms and distances in Å follow each position.
Space group Cmmm (No. 65)
Symmetry-distinct sites (fractional):
La 0.1716 0.1645 0.0000 [8 per cell]  4 La 3.29-3.50, 2 Pm 3.65
La 0.1803 0.0000 0.5000 [4 per cell]  7 La 3.45-3.70, 2 Er 3.58
Pm 0.0000 0.3284 0.5000 [4 per cell]  2 Er 3.61, 8 La 3.65-3.86, 2 Pm 3.70
Er 0.0000 0.5000 0.0000 [2 per cell]  4 La 3.58, 4 Pm 3.61, 2 Er 3.70

Its energy relative to the elements is 0.116 eV/atom. As for the crystal system: orthorhombic. Its raw total energy is -4.731 eV/atom.

---

[8]
# Ac3Sm2ErS6

Ac3Sm2ErS6 after structural relaxation (PBE-GGA, the Alexandria database).

Unit cell a=7.0571 b=12.2533 c=7.3182 alpha=90.00 beta=108.88 gamma=90.00
Closest atoms and distances in Å follow each position.
Space group C2/m (No. 12)
Symmetry-distinct sites (fractional):
Ac 0.0000 0.0000 0.0000 [2 per cell]  6 S 3.02-3.07
Ac 0.0000 0.3305 0.0000 [4 per cell]  6 S 3.02-3.06
Sm 0.0000 0.1666 0.5000 [4 per cell]  6 S 2.84-2.85
Er 0.0000 0.5000 0.5000 [2 per cell]  6 S 2.76-2.78
S 0.2364 0.3375 0.7224 [8 per cell]  1 Er 2.76, 2 Sm 2.84, 3 Ac 3.02-3.06
S 0.2503 0.0000 0.7255 [4 per cell]  1 Er 2.78, 2 Sm 2.85, 3 Ac 3.03-3.07

As for the crystal system: monoclinic. Its raw total energy is -6.251 eV/atom. The formation energy (no corrections) is -1.994 eV/atom.

---

Which of these has the highest raw total energy? PaGa6